Here is a relaxed HoThMgTi crystal from Alexandria via LeMat-Bulk. Energies are from PBE.

Cell and atoms, written as CIF:
```
data_HoThMgTi
_chemical_formula_sum 'Ho1 Th1 Mg1 Ti1'
_cell_length_a 5.275
_cell_length_b 5.275
_cell_length_c 5.275
_cell_angle_alpha 60.00
_cell_angle_beta 60.00
_cell_angle_gamma 60.00
_symmetry_space_group_name_H-M 'P 1'
_symmetry_Int_Tables_number 1
loop_
_symmetry_equiv_pos_as_xyz
'x,y,z'
loop_
_atom_site_label
_atom_site_fract_x
_atom_site_fract_y
_atom_site_fract_z
Th1 0.500 0.500 0.500
Ti1 0.750 0.750 0.750
Mg1 0.250 0.250 0.250
Ho1 0.000 0.000 0.000
```

Volume = 103.77 Å³ per cell
Formation energy = 0.594 eV/f.u.
Total moment = 1.76 μB/cell
D(E_F) = 1.321 states/eV/atom


Here is a relaxed VSi2B crystal from Alexandria via LeMat-Bulk. Energies are from PBE.

Cell and atoms, written as CIF:
```
data_VSi2B
_chemical_formula_sum 'V2 Si4 B2'
_cell_length_a 6.324
_cell_length_b 6.324
_cell_length_c 5.077
_cell_angle_alpha 51.48
_cell_angle_beta 51.48
_cell_angle_gamma 90.00
_symmetry_space_group_name_H-M 'P 1'
_symmetry_Int_Tables_number 1
loop_
_symmetry_equiv_pos_as_xyz
'x,y,z'
loop_
_atom_site_label
_atom_site_fract_x
_atom_site_fract_y
_atom_site_fract_z
Si1 0.199 0.625 0.250
Si2 0.375 0.449 0.750
Si3 0.875 0.801 0.750
Si4 0.551 0.125 0.250
V1 0.750 0.250 0.500
V2 0.000 0.000 0.000
B1 0.500 0.500 0.000
B2 0.250 0.750 0.500
```

Volume = 96.19 Å³ per cell
Total moment = 0.60 μB/cell
D(E_F) = 0.659 states/eV/atom
Formation energy from raw total energies = 224.1 meV per atom


Here is a relaxed ScTi2Ir crystal from Alexandria via LeMat-Bulk. Energies are from PBE.

Cell and atoms, written as CIF:
```
data_ScTi2Ir
_chemical_formula_sum 'Sc1 Ti2 Ir1'
_cell_length_a 4.533
_cell_length_b 4.533
_cell_length_c 4.533
_cell_angle_alpha 60.00
_cell_angle_beta 60.00
_cell_angle_gamma 60.00
_symmetry_space_group_name_H-M 'P 1'
_symmetry_Int_Tables_number 1
loop_
_symmetry_equiv_pos_as_xyz
'x,y,z'
loop_
_atom_site_label
_atom_site_fract_x
_atom_site_fract_y
_atom_site_fract_z
Ti1 0.750 0.750 0.750
Ti2 0.250 0.250 0.250
Sc1 0.000 0.000 0.000
Ir1 0.500 0.500 0.500
```

Volume = 65.86 Å³ per cell
Formation energy = -1.632 eV/f.u.
Total moment = 0.00 μB/cell
D(E_F) = 1.748 states/eV/atom


Here is a relaxed LaNdLu crystal from Alexandria via LeMat-Bulk. Energies are from PBE.

Cell and atoms, written as CIF:
```
data_LaNdLu
_chemical_formula_sum 'La1 Nd1 Lu1'
_cell_length_a 3.659
_cell_length_b 3.659
_cell_length_c 8.040
_cell_angle_alpha 103.15
_cell_angle_beta 103.15
_cell_angle_gamma 90.00
_symmetry_space_group_name_H-M 'P 1'
_symmetry_Int_Tables_number 1
loop_
_symmetry_equiv_pos_as_xyz
'x,y,z'
loop_
_atom_site_label
_atom_site_fract_x
_atom_site_fract_y
_atom_site_fract_z
Lu1 0.668 0.668 0.336
Nd1 0.330 0.330 0.659
La1 0.002 0.002 0.005
```

Volume = 101.92 Å³ per cell
Formation energy = 0.115 eV/f.u.
Total moment = 0.00 μB/cell
D(E_F) = 1.731 states/eV/atom


Here is a relaxed AcDy2Al2Ga2 crystal from Alexandria via LeMat-Bulk. Energies are from PBE.

Cell and atoms, written as CIF:
```
data_AcDy2Al2Ga2
_chemical_formula_sum 'Ac1 Dy2 Al2 Ga2'
_cell_length_a 4.436
_cell_length_b 4.436
_cell_length_c 10.745
_cell_angle_alpha 78.09
_cell_angle_beta 78.09
_cell_angle_gamma 60.00
_symmetry_space_group_name_H-M 'P 1'
_symmetry_Int_Tables_number 1
loop_
_symmetry_equiv_pos_as_xyz
'x,y,z'
loop_
_atom_site_label
_atom_site_fract_x
_atom_site_fract_y
_atom_site_fract_z
Al1 0.596 0.596 0.212
Al2 0.404 0.404 0.788
Ac1 0.000 0.000 0.000
Ga1 0.752 0.752 0.745
Ga2 0.248 0.248 0.255
Dy1 0.869 0.869 0.394
Dy2 0.131 0.131 0.606
```

Volume = 177.83 Å³ per cell
Formation energy = -2.690 eV/f.u.
Total moment = 0.00 μB/cell
D(E_F) = 0.722 states/eV/atom


Here is a relaxed ThScSi2O8 crystal from Alexandria via LeMat-Bulk. Energies are from PBE.

Cell and atoms, written as CIF:
```
data_ThScSi2O8
_chemical_formula_sum 'Th1 Sc1 Si2 O8'
_cell_length_a 5.818
_cell_length_b 5.818
_cell_length_c 5.818
_cell_angle_alpha 106.78
_cell_angle_beta 106.78
_cell_angle_gamma 114.99
_symmetry_space_group_name_H-M 'P 1'
_symmetry_Int_Tables_number 1
loop_
_symmetry_equiv_pos_as_xyz
'x,y,z'
loop_
_atom_site_label
_atom_site_fract_x
_atom_site_fract_y
_atom_site_fract_z
O1 0.851 0.665 0.187
O2 0.927 0.601 0.674
O3 0.335 0.522 0.187
O4 0.747 0.073 0.674
O5 0.927 0.253 0.326
O6 0.399 0.073 0.326
O7 0.335 0.149 0.813
O8 0.478 0.665 0.813
Si1 0.750 0.250 0.500
Si2 0.500 0.500 0.000
Th1 0.000 0.000 0.000
Sc1 0.250 0.750 0.500
```

Volume = 150.51 Å³ per cell
Total moment = 0.00 μB/cell
D(E_F) = 0.679 states/eV/atom
Formation energy from raw total energies = -2985.2 meV per atom


Here is a relaxed AlRuCl3 crystal from Alexandria via LeMat-Bulk. Energies are from PBE.

Cell and atoms, written as CIF:
```
data_AlRuCl3
_chemical_formula_sum 'Al1 Ru1 Cl3'
_cell_length_a 4.865
_cell_length_b 4.865
_cell_length_c 4.865
_cell_angle_alpha 90.00
_cell_angle_beta 90.00
_cell_angle_gamma 90.00
_symmetry_space_group_name_H-M 'P 1'
_symmetry_Int_Tables_number 1
loop_
_symmetry_equiv_pos_as_xyz
'x,y,z'
loop_
_atom_site_label
_atom_site_fract_x
_atom_site_fract_y
_atom_site_fract_z
Cl1 0.000 0.500 0.000
Cl2 0.000 0.000 0.500
Cl3 0.500 0.000 0.000
Ru1 0.000 0.000 0.000
Al1 0.500 0.500 0.500
```

Volume = 115.16 Å³ per cell
Total moment = 1.41 μB/cell
D(E_F) = 1.032 states/eV/atom
Formation energy from raw total energies = -78.0 meV per atom


Here is a relaxed Os5Br4 crystal from Alexandria via LeMat-Bulk. Energies are from PBE.

Cell and atoms, written as CIF:
```
data_Os5Br4
_chemical_formula_sum 'Os10 Br8'
_cell_length_a 9.021
_cell_length_b 9.021
_cell_length_c 4.957
_cell_angle_alpha 90.00
_cell_angle_beta 90.00
_cell_angle_gamma 120.00
_symmetry_space_group_name_H-M 'P 1'
_symmetry_Int_Tables_number 1
loop_
_symmetry_equiv_pos_as_xyz
'x,y,z'
loop_
_atom_site_label
_atom_site_fract_x
_atom_site_fract_y
_atom_site_fract_z
Br1 0.000 0.296 0.250
Br2 0.000 0.000 0.500
Br3 0.296 0.296 0.750
Br4 0.000 0.000 0.000
Br5 0.000 0.704 0.750
Br6 0.704 0.000 0.750
Br7 0.704 0.704 0.250
Br8 0.296 0.000 0.250
Os1 0.556 0.556 0.750
Os2 0.556 0.000 0.250
Os3 0.000 0.556 0.250
Os4 0.333 0.667 0.000
Os5 0.444 0.444 0.250
Os6 0.000 0.444 0.750
Os7 0.667 0.333 0.000
Os8 0.333 0.667 0.500
Os9 0.667 0.333 0.500
Os10 0.444 0.000 0.750
```

Volume = 349.37 Å³ per cell
Total moment = 1.82 μB/cell
D(E_F) = 1.395 states/eV/atom
Formation energy from raw total energies = 1386.3 meV per atom


Here is a relaxed LaNdY14 crystal from Alexandria via LeMat-Bulk. Energies are from PBE.

Cell and atoms, written as CIF:
```
data_LaNdY14
_chemical_formula_sum 'La1 Nd1 Y14'
_cell_length_a 7.186
_cell_length_b 7.186
_cell_length_c 10.144
_cell_angle_alpha 90.00
_cell_angle_beta 90.00
_cell_angle_gamma 90.00
_symmetry_space_group_name_H-M 'P 1'
_symmetry_Int_Tables_number 1
loop_
_symmetry_equiv_pos_as_xyz
'x,y,z'
loop_
_atom_site_label
_atom_site_fract_x
_atom_site_fract_y
_atom_site_fract_z
Y1 0.375 0.125 0.500
Y2 0.125 0.376 0.747
Y3 0.375 0.125 0.000
Y4 0.624 0.376 0.747
Y5 0.875 0.625 0.000
Y6 0.875 0.125 0.500
Y7 0.624 0.376 0.253
Y8 0.624 0.875 0.253
Y9 0.375 0.625 0.500
Y10 0.624 0.875 0.747
Y11 0.126 0.874 0.747
Y12 0.126 0.874 0.253
Y13 0.125 0.376 0.253
Y14 0.875 0.625 0.500
Nd1 0.375 0.625 0.000
La1 0.875 0.125 0.000
```

Volume = 523.80 Å³ per cell
Formation energy = 0.383 eV/f.u.
Total moment = 0.00 μB/cell
D(E_F) = 1.452 states/eV/atom


Here is a relaxed K4Hg crystal from Alexandria via LeMat-Bulk. Energies are from PBE.

Cell and atoms, written as CIF:
```
data_K4Hg
_chemical_formula_sum 'K4 Hg1'
_cell_length_a 6.833
_cell_length_b 6.833
_cell_length_c 6.833
_cell_angle_alpha 90.00
_cell_angle_beta 90.00
_cell_angle_gamma 90.00
_symmetry_space_group_name_H-M 'P 1'
_symmetry_Int_Tables_number 1
loop_
_symmetry_equiv_pos_as_xyz
'x,y,z'
loop_
_atom_site_label
_atom_site_fract_x
_atom_site_fract_y
_atom_site_fract_z
K1 0.500 0.000 0.500
K2 0.000 0.500 0.500
K3 0.000 0.000 0.000
K4 0.500 0.500 0.000
Hg1 0.500 0.500 0.500
```

Volume = 318.97 Å³ per cell
Formation energy = -0.361 eV/f.u.
Total moment = 0.00 μB/cell
D(E_F) = 0.578 states/eV/atom


Here is a relaxed LaAlHg2H crystal from Alexandria via LeMat-Bulk. Energies are from PBE.

Cell and atoms, written as CIF:
```
data_LaAlHg2H
_chemical_formula_sum 'La1 Al1 Hg2 H1'
_cell_length_a 4.883
_cell_length_b 4.464
_cell_length_c 4.883
_cell_angle_alpha 90.00
_cell_angle_beta 90.00
_cell_angle_gamma 90.00
_symmetry_space_group_name_H-M 'P 1'
_symmetry_Int_Tables_number 1
loop_
_symmetry_equiv_pos_as_xyz
'x,y,z'
loop_
_atom_site_label
_atom_site_fract_x
_atom_site_fract_y
_atom_site_fract_z
La1 0.000 0.500 0.000
Hg1 0.000 0.000 0.500
Hg2 0.500 0.000 0.000
H1 0.000 0.000 0.000
Al1 0.500 0.500 0.500
```

Volume = 106.44 Å³ per cell
Total moment = 0.00 μB/cell
Electronic total energy = -2.6984 eV/atom
D(E_F) = 0.531 states/eV/atom


Here is a relaxed LiCa2Al3Au12 crystal from Alexandria via LeMat-Bulk. Energies are from PBE.

Cell and atoms, written as CIF:
```
data_LiCa2Al3Au12
_chemical_formula_sum 'Li1 Ca2 Al3 Au12'
_cell_length_a 8.088
_cell_length_b 8.088
_cell_length_c 8.088
_cell_angle_alpha 63.93
_cell_angle_beta 63.93
_cell_angle_gamma 63.93
_symmetry_space_group_name_H-M 'P 1'
_symmetry_Int_Tables_number 1
loop_
_symmetry_equiv_pos_as_xyz
'x,y,z'
loop_
_atom_site_label
_atom_site_fract_x
_atom_site_fract_y
_atom_site_fract_z
Al1 0.000 0.500 0.000
Al2 0.500 0.000 0.000
Al3 0.000 0.000 0.500
Au1 0.130 0.632 0.130
Au2 0.632 0.130 0.130
Au3 0.891 0.362 0.362
Au4 0.638 0.638 0.109
Au5 0.870 0.368 0.870
Au6 0.362 0.362 0.891
Au7 0.870 0.870 0.368
Au8 0.362 0.891 0.362
Au9 0.130 0.130 0.632
Au10 0.109 0.638 0.638
Au11 0.638 0.109 0.638
Au12 0.368 0.870 0.870
Ca1 0.385 0.385 0.385
Ca2 0.615 0.615 0.615
Li1 0.000 0.000 0.000
```

Volume = 406.45 Å³ per cell
Formation energy = -4.121 eV/f.u.
Total moment = 0.00 μB/cell
D(E_F) = 0.325 states/eV/atom